The following is a DFT calculation (PBE) of an optimized crystal structure of Sn3BiTe.

Summary:
**Magnetic moment**: 0.0 μB per formula unit
**Excess energy over the best structure of this formula in the dataset**: 0 meV per atom
**DOS(E_F)**: 0.428 states/eV/atom
**Formation energy (no corrections)**: 0.551 eV/atom

Unit cell a=5.8231 b=5.8231 c=5.8231 alpha=90.00 beta=90.00 gamma=90.00
With the nearest neighbours (Å) after each atom.
Positions (direct):
Sn: 0.0000 0.0000 0.5000  2 Te 2.91
Sn: 0.0000 0.5000 0.0000  2 Te 2.91
Sn: 0.5000 0.0000 0.0000  2 Te 2.91
Bi: 0.5000 0.5000 0.5000  12 Sn 4.12
Te: 0.0000 0.0000 0.0000  6 Sn 2.91